(1)
RbAu5 | PBE | optimized geometry

Lattice parameters (Å, degrees): 5.854 5.854 4.588 90.00 90.00 120.00
Positions (direct):
Rb  0.000  0.000  0.000
Au  0.667  0.333  0.000
Au  0.500  0.000  0.500
Au  0.500  0.500  0.500
Au  0.000  0.500  0.500
Au  0.333  0.667  0.000

Relative energy among the computed polymorphs in eV/atom: 0.000
Space-group type: P6/mmm (191)

(2)
Rb7Au3 | PBE | optimized geometry

Lattice parameters (Å, degrees): 7.863 12.380 12.380 120.00 90.00 90.00
Positions (direct):
Rb  0.159  0.667  0.333
Rb  0.659  0.333  0.667
Rb  0.934  0.875  0.749
Rb  0.934  0.875  0.125
Rb  0.934  0.251  0.125
Rb  0.434  0.125  0.251
Rb  0.434  0.125  0.875
Rb  0.434  0.749  0.875
Rb  0.122  0.461  0.922
Rb  0.122  0.461  0.539
Rb  0.122  0.078  0.539
Rb  0.622  0.539  0.078
Rb  0.622  0.539  0.461
Rb  0.622  0.922  0.461
Au  0.859  0.188  0.376
Au  0.859  0.188  0.812
Au  0.859  0.624  0.812
Au  0.359  0.812  0.624
Au  0.359  0.812  0.188
Au  0.359  0.376  0.188

Relative energy among the computed polymorphs in eV/atom: 0.000
Space-group type: P6_3mc (186)

(3)
Rb3Au | PBE | optimized geometry

Lattice parameters (Å, degrees): 5.903 5.903 5.903 90.00 90.00 90.00
Positions (direct):
Au  0.000  0.000  0.000
Rb  0.000  0.500  0.500
Rb  0.500  0.000  0.500
Rb  0.500  0.500  0.000

Space-group type: Pm-3m (221)

(4)
Rb2Au17 | PBE | optimized geometry

Lattice parameters (Å, degrees): 7.398 7.398 7.398 84.36 84.36 84.36
Positions (direct):
Rb  0.347  0.347  0.347
Rb  0.653  0.653  0.653
Au  0.658  0.658  0.153
Au  0.153  0.658  0.658
Au  0.900  0.900  0.900
Au  0.100  0.100  0.100
Au  0.000  0.000  0.500
Au  0.000  0.500  0.000
Au  0.500  0.000  0.000
Au  0.307  0.693  0.000
Au  0.693  0.000  0.307
Au  0.000  0.307  0.693
Au  0.693  0.307  0.000
Au  0.307  0.000  0.693
Au  0.000  0.693  0.307
Au  0.847  0.342  0.342
Au  0.342  0.342  0.847
Au  0.342  0.847  0.342
Au  0.658  0.153  0.658

Space-group type: R-3m (166)

| no. | VASP energy (eV per cell) |
| --- | --- |
| 1 | -18.5 |
| 2 | -36.6 |
| 3 | -6.3 |
| 4 | -59.1 |